Here is crystalline ErHfCS at its relaxed geometry from OQMD via LeMat-Bulk. Energies are from PBE-GGA.

Computed properties:
space group = P-3m1, No. 164
offset from the most stable computed form = 0.12 eV per formula unit
total energy = -8.25 eV per atom
total moment = 0.0 μB per formula unit

a b c (Å): 3.5070 3.5070 12.4533
angles (deg): 90.00 90.00 120.00
Closest atoms and distances in Å follow each position.
Atoms (fractional coordinates):
Hf1 0.6667 0.3333 0.0950  3 C 2.34
Er1 0.3333 0.6667 0.6069  3 C 2.42
Hf2 0.3333 0.6667 0.9050  3 C 2.34
Er2 0.6667 0.3333 0.3931  3 C 2.42
C1 0.0000 0.0000 0.0000  6 Hf 2.34
S1 0.6667 0.3333 0.7660  3 Hf 2.66, 3 Er 2.83
S2 0.3333 0.6667 0.2340  3 Hf 2.66, 3 Er 2.83
C2 0.0000 0.0000 0.5000  6 Er 2.42